*P*
# La7Pr12Cd, relaxed, DFT GGA-PBE
data_La7Pr12Cd
_chemical_formula_sum 'La7 Pr12 Cd1'
_symmetry_space_group_name_H-M 'P 1'
_symmetry_Int_Tables_number 1
_symmetry_space_group_name_Hall 'P 1'
_cell_length_a 10.036
_cell_length_b 10.036
_cell_length_c 10.036
_cell_angle_alpha 109.47
_cell_angle_beta 109.47
_cell_angle_gamma 109.47
loop_
_atom_site_label
_atom_site_fract_x
_atom_site_fract_y
_atom_site_fract_z
La1 0.000 0.000 0.500
La2 0.000 0.500 0.000
La3 0.000 0.500 0.500
La4 0.500 0.000 0.000
La5 0.500 0.000 0.500
La6 0.500 0.500 0.000
La7 0.500 0.500 0.500
Pr1 0.069 0.804 0.265
Pr2 0.196 0.265 0.461
Pr3 0.196 0.735 0.931
Pr4 0.265 0.069 0.804
Pr5 0.265 0.461 0.196
Pr6 0.461 0.196 0.265
Pr7 0.539 0.804 0.735
Pr8 0.735 0.539 0.804
Pr9 0.735 0.931 0.196
Pr10 0.804 0.265 0.069
Pr11 0.804 0.735 0.539
Pr12 0.931 0.196 0.735
Cd1 0.000 0.000 0.000
# Total magnetic moment ... 0.00 μB/cell
# D(E_F) ... 31.058 states/eV per cell
# Space-group type ... Im-3
# V ... 38.9 A^3/atom


*Q*
# La7Pr12Cd, relaxed, DFT GGA-PBE
data_La7Pr12Cd
_chemical_formula_sum 'La7 Pr12 Cd1'
_symmetry_space_group_name_H-M 'P 1'
_symmetry_Int_Tables_number 1
_symmetry_space_group_name_Hall 'P 1'
_cell_length_a 9.073
_cell_length_b 9.073
_cell_length_c 9.073
_cell_angle_alpha 99.64
_cell_angle_beta 99.64
_cell_angle_gamma 99.64
loop_
_atom_site_label
_atom_site_fract_x
_atom_site_fract_y
_atom_site_fract_z
La1 0.000 0.000 0.000
La2 0.091 0.360 0.360
La3 0.360 0.091 0.360
La4 0.360 0.360 0.091
La5 0.640 0.640 0.909
La6 0.640 0.909 0.640
La7 0.909 0.640 0.640
Pr1 0.093 0.093 0.661
Pr2 0.093 0.661 0.093
Pr3 0.244 0.500 0.756
Pr4 0.244 0.756 0.500
Pr5 0.339 0.907 0.907
Pr6 0.500 0.244 0.756
Pr7 0.500 0.756 0.244
Pr8 0.661 0.093 0.093
Pr9 0.756 0.244 0.500
Pr10 0.756 0.500 0.244
Pr11 0.907 0.339 0.907
Pr12 0.907 0.907 0.339
Cd1 0.500 0.500 0.500
# Total magnetic moment ... 0.00 μB/cell
# D(E_F) ... 30.832 states/eV per cell
# Space-group type ... R-3m
# V ... 35.6 A^3/atom


Quick ranking, most stable first: *Q*, *P*.


*P*
# La4Pr4Cd, relaxed, DFT GGA-PBE
data_La4Pr4Cd
_chemical_formula_sum 'La4 Pr4 Cd1'
_symmetry_space_group_name_H-M 'P 1'
_symmetry_Int_Tables_number 1
_symmetry_space_group_name_Hall 'P 1'
_cell_length_a 8.190
_cell_length_b 8.190
_cell_length_c 8.190
_cell_angle_alpha 95.71
_cell_angle_beta 95.71
_cell_angle_gamma 143.24
loop_
_atom_site_label
_atom_site_fract_x
_atom_site_fract_y
_atom_site_fract_z
La1 0.165 0.165 0.331
La2 0.165 0.835 0.000
La3 0.835 0.165 0.000
La4 0.835 0.835 0.669
Pr1 0.173 0.500 0.673
Pr2 0.500 0.173 0.673
Pr3 0.500 0.827 0.327
Pr4 0.827 0.500 0.327
Cd1 0.500 0.500 0.000
# Total magnetic moment ... 0.00 μB/cell
# D(E_F) ... 13.834 states/eV per cell
# Space-group type ... I4/mmm
# V ... 34.7 A^3/atom


*Q*
# La4Pr4Cd, relaxed, DFT GGA-PBE
data_La4Pr4Cd
_chemical_formula_sum 'La4 Pr4 Cd1'
_symmetry_space_group_name_H-M 'P 1'
_symmetry_Int_Tables_number 1
_symmetry_space_group_name_Hall 'P 1'
_cell_length_a 7.917
_cell_length_b 7.917
_cell_length_c 7.917
_cell_angle_alpha 130.82
_cell_angle_beta 113.36
_cell_angle_gamma 87.12
loop_
_atom_site_label
_atom_site_fract_x
_atom_site_fract_y
_atom_site_fract_z
La1 0.000 0.000 0.000
La2 0.338 0.500 0.838
La3 0.500 0.000 0.500
La4 0.662 0.500 0.162
Pr1 0.101 0.519 0.126
Pr2 0.393 0.975 0.874
Pr3 0.607 0.481 0.582
Pr4 0.899 0.025 0.418
Cd1 0.000 0.500 0.500
# Total magnetic moment ... 0.00 μB/cell
# D(E_F) ... 14.128 states/eV per cell
# Space-group type ... I222
# V ... 36.5 A^3/atom


Quick ranking, most stable first: *P*, *Q*.


*P*
# LaCd3Pt, relaxed, DFT GGA-PBE
data_LaCd3Pt
_chemical_formula_sum 'La2 Cd6 Pt2'
_symmetry_space_group_name_H-M 'P 1'
_symmetry_Int_Tables_number 1
_symmetry_space_group_name_Hall 'P 1'
_cell_length_a 5.607
_cell_length_b 5.948
_cell_length_c 7.608
_cell_angle_alpha 90.00
_cell_angle_beta 110.80
_cell_angle_gamma 90.00
loop_
_atom_site_label
_atom_site_fract_x
_atom_site_fract_y
_atom_site_fract_z
La1 0.217 0.250 0.121
La2 0.783 0.750 0.879
Cd1 0.209 0.008 0.691
Cd2 0.209 0.492 0.691
Cd3 0.339 0.750 0.396
Cd4 0.661 0.250 0.604
Cd5 0.791 0.508 0.309
Cd6 0.791 0.992 0.309
Pt1 0.337 0.750 0.028
Pt2 0.663 0.250 0.972
# Total magnetic moment ... 0.00 μB/cell
# D(E_F) ... 4.811 states/eV per cell
# Space-group type ... P2_1/m
# V ... 23.7 A^3/atom


*Q*
# LaCd3Pt, relaxed, DFT GGA-PBE
data_LaCd3Pt
_chemical_formula_sum 'La1 Cd3 Pt1'
_symmetry_space_group_name_H-M 'P 1'
_symmetry_Int_Tables_number 1
_symmetry_space_group_name_Hall 'P 1'
_cell_length_a 5.954
_cell_length_b 5.954
_cell_length_c 5.954
_cell_angle_alpha 90.00
_cell_angle_beta 90.00
_cell_angle_gamma 90.00
loop_
_atom_site_label
_atom_site_fract_x
_atom_site_fract_y
_atom_site_fract_z
La1 0.000 0.000 0.000
Cd1 0.000 0.000 0.500
Cd2 0.000 0.500 0.000
Cd3 0.500 0.000 0.000
Pt1 0.500 0.500 0.500
# Total magnetic moment ... 0.00 μB/cell
# D(E_F) ... 5.373 states/eV per cell
# Space-group type ... Pm-3m
# V ... 42.2 A^3/atom


Quick ranking, most stable first: *P*, *Q*.


*P*
# La4CdPt, relaxed, DFT GGA-PBE
data_La4CdPt
_chemical_formula_sum 'La8 Cd2 Pt2'
_symmetry_space_group_name_H-M 'P 1'
_symmetry_Int_Tables_number 1
_symmetry_space_group_name_Hall 'P 1'
_cell_length_a 9.027
_cell_length_b 9.027
_cell_length_c 7.266
_cell_angle_alpha 108.28
_cell_angle_beta 108.28
_cell_angle_gamma 116.56
loop_
_atom_site_label
_atom_site_fract_x
_atom_site_fract_y
_atom_site_fract_z
La1 0.053 0.606 0.823
La2 0.200 0.269 0.736
La3 0.269 0.200 0.236
La4 0.394 0.947 0.677
La5 0.606 0.053 0.323
La6 0.731 0.800 0.764
La7 0.800 0.731 0.264
La8 0.947 0.394 0.177
Cd1 0.377 0.623 0.250
Cd2 0.623 0.377 0.750
Pt1 0.087 0.913 0.750
Pt2 0.913 0.087 0.250
# Total magnetic moment ... 0.00 μB/cell
# D(E_F) ... 16.573 states/eV per cell
# Space-group type ... C2/c
# V ... 35.4 A^3/atom


*Q*
# La4CdPt, relaxed, DFT GGA-PBE
data_La4CdPt
_chemical_formula_sum 'La4 Cd1 Pt1'
_symmetry_space_group_name_H-M 'P 1'
_symmetry_Int_Tables_number 1
_symmetry_space_group_name_Hall 'P 1'
_cell_length_a 6.323
_cell_length_b 6.323
_cell_length_c 6.323
_cell_angle_alpha 60.00
_cell_angle_beta 60.00
_cell_angle_gamma 60.00
loop_
_atom_site_label
_atom_site_fract_x
_atom_site_fract_y
_atom_site_fract_z
La1 0.124 0.124 0.124
La2 0.124 0.124 0.628
La3 0.124 0.628 0.124
La4 0.628 0.124 0.124
Cd1 0.500 0.500 0.500
Pt1 0.750 0.750 0.750
# Total magnetic moment ... 0.01 μB/cell
# D(E_F) ... 9.725 states/eV per cell
# Space-group type ... F-43m
# V ... 29.8 A^3/atom


*R*
# La4CdPt, relaxed, DFT GGA-PBE
data_La4CdPt
_chemical_formula_sum 'La16 Cd4 Pt4'
_symmetry_space_group_name_H-M 'P 1'
_symmetry_Int_Tables_number 1
_symmetry_space_group_name_Hall 'P 1'
_cell_length_a 10.192
_cell_length_b 10.192
_cell_length_c 10.192
_cell_angle_alpha 60.00
_cell_angle_beta 60.00
_cell_angle_gamma 60.00
loop_
_atom_site_label
_atom_site_fract_x
_atom_site_fract_y
_atom_site_fract_z
La1 0.187 0.187 0.813
La2 0.187 0.813 0.187
La3 0.187 0.813 0.813
La4 0.400 0.400 0.400
La5 0.400 0.400 0.801
La6 0.400 0.801 0.400
La7 0.557 0.557 0.943
La8 0.557 0.943 0.557
La9 0.557 0.943 0.943
La10 0.801 0.400 0.400
La11 0.813 0.187 0.187
La12 0.813 0.187 0.813
La13 0.813 0.813 0.187
La14 0.943 0.557 0.557
La15 0.943 0.557 0.943
La16 0.943 0.943 0.557
Cd1 0.170 0.170 0.170
Cd2 0.170 0.170 0.489
Cd3 0.170 0.489 0.170
Cd4 0.489 0.170 0.170
Pt1 0.179 0.607 0.607
Pt2 0.607 0.179 0.607
Pt3 0.607 0.607 0.179
Pt4 0.607 0.607 0.607
# Total magnetic moment ... 0.00 μB/cell
# D(E_F) ... 21.226 states/eV per cell
# Space-group type ... F-43m
# V ... 31.2 A^3/atom


Quick ranking, most stable first: *R*, *P*, *Q*.